This record from Alexandria describes an optimized crystal structure of MgZrBr2. The functional is PBE-GGA.

Summary:
Symmetry   P4mm (99)
ΔE_f (raw)   -0.7153 eV/atom
Polymorph energy (0 for the lowest one)   21 meV per atom

abc: 3.449 3.449 8.927
angles: 90.00 90.00 89.99
Sites, in units of the cell vectors:
Br  0.000  0.000  0.914
Zr  0.500  0.500  0.733
Br  0.500  0.500  0.346
Mg  0.000  0.000  0.507